Record 1
A plane-wave DFT calculation with PBE-GGA was carried out for a geometry-optimized HoTePO structure.

Calculated values
relative energy among the computed polymorphs: 85 meV/atom
space group: P4/nmm

Lattice parameters (Å, degrees): 4.0306 4.0306 10.1425 90.00 90.00 90.00
Closest atoms and distances in Å follow each position.
Positions (direct):
Ho  0.2500  0.2500  0.1013  4 O 2.26
Ho  0.7500  0.7500  0.8987  4 O 2.26
O  0.7500  0.2500  0.0000  4 Ho 2.26
O  0.2500  0.7500  0.0000  4 Ho 2.26
P  0.7500  0.7500  0.2679  4 Te 3.10, 4 Ho 3.31, 4 O 3.38
P  0.2500  0.2500  0.7321  4 Te 3.10, 4 Ho 3.31, 4 O 3.38
Te  0.7500  0.2500  0.5000  4 Te 2.85, 4 P 3.10
Te  0.2500  0.7500  0.5000  4 Te 2.85, 4 P 3.10



Record 2
A plane-wave DFT calculation with PBE-GGA was carried out for a geometry-optimized CsLuBeTe3 structure.

Calculated values
electronic total energy: -24.620 eV/f.u.
space group: Cmcm

Lattice parameters (Å, degrees): 8.8714 8.8714 11.4825 90.00 90.00 152.18
Closest atoms and distances in Å follow each position.
Positions (direct):
Be  0.4637  0.5363  0.2500  4 Te 2.48-2.63
Be  0.5363  0.4637  0.7500  4 Te 2.48-2.63
Cs  0.7425  0.2575  0.2500  8 Te 3.85-4.27, 2 Cs 4.26
Cs  0.2575  0.7425  0.7500  8 Te 3.85-4.27, 2 Cs 4.26
Lu  0.0000  0.0000  0.0000  6 Te 3.01-3.02
Lu  0.0000  0.0000  0.5000  6 Te 3.01-3.02
Te  0.3848  0.6152  0.0696  1 Be 2.48
Te  0.0528  0.9472  0.2500  2 Be 2.63
Te  0.3848  0.6152  0.4304  1 Be 2.48
Te  0.6152  0.3848  0.5696  1 Be 2.48
Te  0.9472  0.0528  0.7500  2 Be 2.63
Te  0.6152  0.3848  0.9304  1 Be 2.48



Record 3
A plane-wave DFT calculation with PBE-GGA was carried out for a geometry-optimized AlFeOsAu structure.

Calculated values
relative energy among the computed polymorphs: 0 meV/atom
space group: F-43m

Lattice parameters (Å, degrees): 4.3671 4.3671 4.3671 60.00 60.00 60.00
Closest atoms and distances in Å follow each position.
Positions (direct):
Al  0.0000  0.0000  0.0000  4 Os 2.67, 4 Fe 2.67
Au  0.5000  0.5000  0.5000  4 Fe 2.67, 4 Os 2.67
Fe  0.7500  0.7500  0.7500  4 Au 2.67, 4 Al 2.67
Os  0.2500  0.2500  0.2500  4 Al 2.67, 4 Au 2.67



Record 4
A plane-wave DFT calculation with PBE-GGA was carried out for a geometry-optimized PuGeMo structure.

Calculated values
electronic total energy: -28.796 eV/f.u.
space group: F-43m

Lattice parameters (Å, degrees): 4.5069 4.5069 4.5069 60.00 60.00 60.00
Closest atoms and distances in Å follow each position.
Positions (direct):
Ge  0.0000  0.0000  0.0000  4 Mo 2.76, 4 Pu 2.76
Mo  0.2500  0.2500  0.2500  4 Ge 2.76
Pu  0.7500  0.7500  0.7500  4 Ge 2.76